Record 1
## NbCrF (GGA+U)

Data for a relaxed NbCrF crystal.

Properties
As for the total energy: -42.8 eV/cell. The volume is 17.740 Å³ per atom. The value obtained for the total moment is 0.288 μB/atom.

Lattice parameters (Å, degrees): 2.954 2.956 14.068 90.00 90.00 119.98
Site moments in Bohr magnetons follow the coordinates.
Fractional positions:
Nb  0.054  0.109  0.832  0.20
Nb  0.054  0.109  0.168  0.20
Cr  0.394  0.787  0.500  4.46
Cr  0.722  0.444  0.000  -3.65
F  0.721  0.442  0.728  0.01
F  0.721  0.442  0.272  0.01



Record 2
## NbCr2F8 (GGA+U)

Data for a relaxed NbCr2F8 crystal.

Properties
As for the total energy: -69.0 eV/cell. The volume is 14.454 Å³ per atom. The value obtained for the total moment is 0.818 μB/atom.

Lattice parameters (Å, degrees): 4.048 6.736 6.734 120.02 90.00 90.00
Site moments in Bohr magnetons follow the coordinates.
Fractional positions:
Nb  0.000  0.000  0.000  0.90
F  0.242  0.150  0.302  0.01
F  0.758  0.848  0.150  0.01
F  0.242  0.152  0.850  0.01
F  0.740  0.333  0.667  0.01
F  0.242  0.698  0.848  0.01
F  0.758  0.850  0.698  0.01
F  0.758  0.302  0.152  0.01
F  0.260  0.667  0.333  0.01
Cr  0.239  0.333  0.667  3.79
Cr  0.761  0.667  0.333  3.79



Record 3
## Nb2CrF (GGA+U)

Data for a relaxed Nb2CrF crystal.

Properties
As for the total energy: -27.0 eV/cell. The volume is 14.827 Å³ per atom. The value obtained for the total moment is 0.061 μB/atom.

Lattice parameters (Å, degrees): 4.377 4.377 4.377 60.00 60.00 60.00
Site moments in Bohr magnetons follow the coordinates.
Fractional positions:
Nb  0.750  0.750  0.750  -0.06
Nb  0.250  0.250  0.250  -0.06
Cr  0.500  0.500  0.500  0.33
F  0.000  0.000  0.000  0.01